Entry 1:
Here is a geometry-optimized In2PbAu2 structure from the Alexandria database. Energies are from GGA-PBE.

Structure (POSCAR):
```
In2PbAu2
1.0
4.4431 0.0000 0.0000
0.0000 4.4431 0.0000
2.2215 2.2215 6.2786
Pb Au In
1 2 2
direct
0.0000 0.0000 0.0000
0.3910 0.3910 0.2180
0.6090 0.6090 0.7820
0.7500 0.2500 0.5000
0.2500 0.7500 0.5000
```

The calculated total energy is -16.247 eV per cell. The formation energy from the elements is -0.101 eV/atom. Its space group is I4/mmm.

Entry 2:
Here is a geometry-optimized InPb3Au3 structure from the Alexandria database. Energies are from GGA-PBE.

Structure (POSCAR):
```
InPb3Au3
1.0
5.9754 0.0000 0.0000
0.0000 8.4055 -1.3901
0.0000 -1.1055 14.1761
In Pb Au
4 12 12
direct
0.4684 0.8153 0.9399
0.0316 0.8153 0.4399
0.9684 0.1847 0.5601
0.5316 0.1847 0.0601
0.9922 0.0527 0.8733
0.5078 0.0527 0.3733
0.2235 0.6074 0.7171
0.7554 0.5619 0.5544
0.2765 0.6074 0.2171
0.7446 0.5619 0.0544
0.2554 0.4381 0.9456
0.7235 0.3926 0.7829
0.2446 0.4381 0.4456
0.7765 0.3926 0.2829
0.4922 0.9473 0.6267
0.0078 0.9473 0.1267
0.0012 0.9052 0.6477
0.4988 0.9052 0.1477
0.9978 0.7262 0.9180
0.5022 0.7262 0.4180
0.6974 0.7467 0.7601
0.8026 0.7467 0.2601
0.1974 0.2533 0.7399
0.3026 0.2533 0.2399
0.4978 0.2738 0.5820
0.0022 0.2738 0.0820
0.5012 0.0948 0.8523
0.9988 0.0948 0.3523
```

The calculated total energy is -97.517 eV per cell. The energy above the most stable polymorph in this dataset comes out at 0.0 meV per atom. The formation energy from the elements is -0.098 eV/atom. Its space group is P2_1/c.

Entry 3:
Here is a geometry-optimized InPbAu structure from the Alexandria database. Energies are from GGA-PBE.

Structure (POSCAR):
```
InPbAu
1.0
0.4481 0.1233 4.5741
-1.9509 -3.6395 -2.0214
10.7149 -5.2391 -0.9086
Pb Au In
2 2 2
direct
0.0000 0.0000 0.0000
0.0000 0.0000 0.5000
0.3333 0.6667 0.2500
0.6667 0.3333 0.7500
0.0000 0.0000 0.2500
0.0000 0.0000 0.7500
```

The calculated total energy is -17.068 eV per cell. The formation energy from the elements is 0.397 eV/atom. Its space group is P6_3/mmc.

Entry 4:
Here is a geometry-optimized In2Pb14Au9 structure from the Alexandria database. Energies are from GGA-PBE.

Structure (POSCAR):
```
In2Pb14Au9
1.0
8.4610 0.0000 0.0000
-4.2305 7.3274 0.0000
0.0000 0.0000 11.9326
In Pb Au
2 14 9
direct
0.3333 0.6667 0.2555
0.6667 0.3333 0.7445
0.0292 0.6731 0.9060
0.3231 0.9477 0.5958
0.0523 0.3754 0.5958
0.0000 0.0000 0.2484
0.0000 0.0000 0.7516
0.3269 0.3561 0.9060
0.6439 0.9708 0.9060
0.3754 0.3231 0.4042
0.6246 0.6769 0.5958
0.3561 0.0292 0.0940
0.6731 0.6439 0.0940
0.9477 0.6246 0.4042
0.6769 0.0523 0.4042
0.9708 0.3269 0.0940
0.3036 0.9582 0.3437
0.0418 0.3454 0.3437
0.3333 0.6667 0.0219
0.0000 0.0000 0.0000
0.3454 0.3036 0.6563
0.6546 0.6964 0.3437
0.6667 0.3333 0.9781
0.9582 0.6546 0.6563
0.6964 0.0418 0.6563
```

The calculated total energy is -88.343 eV per cell. The formation energy from the elements is -0.058 eV/atom. Its space group is P-3.

Entry 5:
Here is a geometry-optimized In2PbAu6 structure from the Alexandria database. Energies are from GGA-PBE.

Structure (POSCAR):
```
In2PbAu6
1.0
-1.9827 -2.5835 -4.6210
7.3023 -4.4279 -1.5951
-5.9855 -4.6592 4.2354
In Pb Au
4 2 12
direct
0.5451 0.5639 0.7444
0.9549 0.2556 0.4361
0.4549 0.4361 0.2556
0.0451 0.7444 0.5639
0.2500 0.1788 0.8212
0.7500 0.8212 0.1788
0.5491 0.7426 0.5046
0.9509 0.4954 0.2574
0.4509 0.2574 0.4954
0.0491 0.5046 0.7426
0.2275 0.9331 0.3834
0.2725 0.6166 0.0669
0.7725 0.0669 0.6166
0.7275 0.3834 0.9331
0.1548 0.8437 0.9037
0.3452 0.0963 0.1563
0.8452 0.1563 0.0963
0.6548 0.9037 0.8437
```

The calculated total energy is -59.633 eV per cell. The energy above the most stable polymorph in this dataset comes out at 0.0 meV per atom. The formation energy from the elements is -0.107 eV/atom. Its space group is C2/c.

Entry 6:
Here is a geometry-optimized InPbAu2 structure from the Alexandria database. Energies are from GGA-PBE.

Structure (POSCAR):
```
InPbAu2
1.0
4.3626 0.0000 0.0000
0.0000 3.8624 0.0060
0.0000 1.9778 5.5722
Pb Au In
1 2 1
direct
0.5000 0.7727 0.8302
0.0000 0.2082 0.9525
0.5000 0.0372 0.3041
0.0000 0.4819 0.4132
```

The calculated total energy is -13.567 eV per cell. The formation energy from the elements is -0.141 eV/atom. Its space group is Pm.

Entry 7:
Here is a geometry-optimized In2Pb5Au5 structure from the Alexandria database. Energies are from GGA-PBE.

Structure (POSCAR):
```
In2Pb5Au5
1.0
-2.3312 2.1391 2.3954
3.7671 1.0524 6.0135
4.3949 10.8049 -2.0844
In Pb Au
2 5 5
direct
0.9821 0.2504 0.7855
0.0179 0.7496 0.2145
0.5000 0.5000 0.5000
0.3326 0.2999 0.0349
0.2678 0.1424 0.3219
0.7322 0.8576 0.6781
0.6674 0.7001 0.9651
0.8619 0.8397 0.4364
0.3400 0.5444 0.7756
0.6600 0.4556 0.2244
0.1381 0.1603 0.5636
0.0000 0.0000 0.0000
```

The calculated total energy is -41.214 eV per cell. The formation energy from the elements is -0.067 eV/atom. Its space group is C2/m.

Entry 8:
Here is a geometry-optimized InPbAu structure from the Alexandria database. Energies are from GGA-PBE.

Structure (POSCAR):
```
InPbAu
1.0
6.0854 0.0000 0.0000
0.0000 3.7059 0.0000
0.0000 0.0000 13.9512
Pb Au In
4 4 4
direct
0.3682 0.2500 0.3104
0.1318 0.7500 0.8104
0.6318 0.7500 0.6896
0.8682 0.2500 0.1896
0.0159 0.2500 0.6406
0.4841 0.7500 0.1406
0.9841 0.7500 0.3594
0.5159 0.2500 0.8594
0.7394 0.2500 0.4734
0.7606 0.7500 0.9734
0.2606 0.7500 0.5266
0.2394 0.2500 0.0266
```

The calculated total energy is -39.734 eV per cell. The formation energy from the elements is -0.070 eV/atom. Its space group is Pnma.

In order of appearance, magnetization = 0.00; 0.00; 0.00; 0.00; 0.00; 0.00; 0.00; 0.00 μB/cell.